The following is a PBE calculation of PrTlCoSe3 after structural relaxation, from OQMD via LeMat-Bulk.

Values from the calculation:
Total magnetization in μB/cell: 5.98
Total DFT energy (no corrections) in eV/cell: -59.88
Space-group type: No. 63

Lattice parameters (Å, degrees): 4.1444 7.6549 11.2458 90.00 90.00 74.29
Last column: nearest neighbours and their distance in Å.
Atoms (fractional coordinates):
Se: 0.3699 0.2601 0.9190  1 Co 2.40
Se: 0.6301 0.7399 0.4190  1 Co 2.40
Se: 0.9351 0.1298 0.2500  2 Co 2.51
Se: 0.0649 0.8702 0.7500  2 Co 2.51
Se: 0.6301 0.7399 0.0810  1 Co 2.40
Se: 0.3699 0.2601 0.5810  1 Co 2.40
Pr: 0.0000 0.0000 0.0000  6 Se 2.97
Pr: 0.0000 0.0000 0.5000  6 Se 2.97
Co: 0.5306 0.9388 0.2500  4 Se 2.40-2.51
Co: 0.4694 0.0612 0.7500  4 Se 2.40-2.51
Tl: 0.2494 0.5012 0.2500  6 Se 3.32-3.43
Tl: 0.7506 0.4988 0.7500  6 Se 3.32-3.43

The following is a PBE calculation of Li2PmZr3 after structural relaxation, from OQMD via LeMat-Bulk.

Values from the calculation:
Total magnetization in μB/cell: 0.21
Total DFT energy (no corrections) in eV/cell: -31.80
Space-group type: No. 191

Lattice parameters (Å, degrees): 5.8438 5.8438 4.8394 90.00 90.00 120.00
Last column: nearest neighbours and their distance in Å.
Atoms (fractional coordinates):
Li: 0.3333 0.6667 0.4998  6 Zr 2.95
Li: 0.6667 0.3333 0.5002  6 Zr 2.95
Pm: 0.0000 0.0000 0.5000  6 Li 3.37
Zr: 0.5000 0.0000 0.0000  4 Zr 2.92, 4 Li 2.95
Zr: 0.0000 0.5000 0.0000  4 Zr 2.92, 4 Li 2.95
Zr: 0.5000 0.5000 0.0000  4 Zr 2.92, 4 Li 2.95

The following is a PBE calculation of Y3Ni2PdPb3 after structural relaxation, from OQMD via LeMat-Bulk.

Values from the calculation:
Total magnetization in μB/cell: 0.00
Total DFT energy (no corrections) in eV/cell: -51.49
Space-group type: No. 189

Lattice parameters (Å, degrees): 7.5411 7.5411 4.0215 90.00 90.00 120.00
Last column: nearest neighbours and their distance in Å.
Atoms (fractional coordinates):
Y: 0.5941 0.0000 0.0000  4 Ni 3.05, 1 Pd 3.06, 6 Pb 3.16-3.37
Y: 0.0000 0.5941 0.0000  4 Ni 3.05, 1 Pd 3.06, 6 Pb 3.16-3.37
Y: 0.4059 0.4059 0.0000  4 Ni 3.05, 1 Pd 3.06, 6 Pb 3.16-3.37
Pd: 0.0000 0.0000 0.0000  6 Pb 2.87, 3 Y 3.06
Pb: 0.7289 0.7289 0.5000  2 Ni 2.78, 2 Pd 2.87
Pb: 0.0000 0.2711 0.5000  2 Ni 2.78, 2 Pd 2.87
Pb: 0.2711 0.0000 0.5000  2 Ni 2.78, 2 Pd 2.87
Ni: 0.3333 0.6667 0.5000  3 Pb 2.78, 6 Y 3.05
Ni: 0.6667 0.3333 0.5000  3 Pb 2.78, 6 Y 3.05

The following is a PBE calculation of YCuHgSb after structural relaxation, from OQMD via LeMat-Bulk.

Values from the calculation:
Total magnetization in μB/cell: 0.00
Total DFT energy (no corrections) in eV/cell: -15.28
Relative energy among the computed polymorphs in eV/f.u.: 0.151
Space-group type: No. 216

Lattice parameters (Å, degrees): 5.0435 5.0435 5.0435 60.00 60.00 60.00
Last column: nearest neighbours and their distance in Å.
Atoms (fractional coordinates):
Hg: 0.2500 0.2500 0.2500  4 Sb 3.09, 4 Y 3.09
Sb: 0.0000 0.0000 0.0000  4 Cu 3.09, 4 Hg 3.09
Y: 0.5000 0.5000 0.5000  4 Cu 3.09, 4 Hg 3.09
Cu: 0.7500 0.7500 0.7500  4 Sb 3.09, 4 Y 3.09